Material: Fe13O15
Method: DFT, GGA+U
State: relaxed

Cell and atoms, written as POSCAR:
```
Fe13O15
1.0
-3.851 -0.594 3.547
4.062 -0.016 5.617
-0.979 8.090 4.162
Fe O
13 15
Cartesian
-0.023 0.460 5.856
-0.489 4.045 2.081
1.734 7.838 8.795
-1.585 2.557 4.617
-1.313 1.167 1.934
-1.807 4.077 7.244
-2.502 -0.358 4.530
0.817 4.923 8.708
-0.745 7.021 7.469
0.545 6.314 11.391
-0.126 1.889 8.526
-0.642 5.592 4.799
1.039 3.403 6.081
-2.825 5.938 7.655
-3.495 1.592 4.833
-0.719 2.300 6.627
-0.832 3.659 9.176
2.727 5.888 8.492
-2.516 4.616 5.181
-1.630 7.369 5.387
1.748 2.864 8.144
2.057 1.543 5.670
2.031 -0.008 2.808
-0.793 0.697 3.804
0.064 3.821 4.149
0.025 6.784 9.521
-0.049 5.180 6.698
0.862 0.111 7.938
```

## Properties
V: 305.0 Å³ per cell
E_tot: -6.63 eV per atom

***

Material: Fe3O4
Method: DFT, GGA+U
State: relaxed

Cell and atoms, written as POSCAR:
```
Fe3O4
1.0
6.057 -0.007 0.001
0.028 10.534 0.028
-3.003 1.741 4.966
Fe O
12 16
Cartesian
3.057 10.530 0.028
0.014 5.267 0.014
3.040 3.522 4.346
1.541 6.134 2.497
0.042 8.746 0.648
0.027 3.510 2.502
0.027 8.794 4.365
1.527 0.867 2.483
3.055 3.474 0.629
3.055 8.758 2.493
4.556 0.864 2.484
4.570 6.131 2.498
3.091 1.663 1.289
3.131 10.499 3.662
-1.589 7.889 3.756
1.661 7.903 3.763
-1.458 2.596 3.621
0.036 6.914 1.240
3.046 5.354 3.755
1.479 2.652 3.644
0.011 5.161 3.680
1.604 9.616 1.350
-0.049 1.769 1.333
-0.008 10.605 3.705
1.421 4.365 1.231
4.540 9.672 1.373
3.071 7.107 1.315
4.672 4.379 1.239
```

## Properties
V: 316.6 Å³ per cell
E_tot: -6.67 eV per atom

***

Material: Fe3O4
Method: DFT, GGA+U
State: relaxed

Cell and atoms, written as POSCAR:
```
Fe3O4
1.0
-2.331 -1.747 0.800
3.396 -7.307 -6.056
5.663 -3.932 7.920
O Fe
16 12
Cartesian
3.335 -5.577 0.404
2.860 -2.882 4.888
1.932 -5.103 3.046
3.390 -7.412 2.261
2.181 -8.927 -4.589
4.550 -4.055 7.251
-0.899 -3.137 -0.914
5.079 -8.584 4.624
5.268 -10.213 1.603
1.462 -2.771 1.060
1.993 -7.298 -1.568
4.796 -7.883 -0.383
1.645 -4.403 -1.959
3.870 -10.101 -2.225
4.733 -5.689 4.233
7.627 -9.849 3.578
4.489 -9.999 -0.202
0.763 -6.118 -2.572
4.091 -4.298 5.382
2.643 -8.683 -2.721
6.498 -11.394 2.607
4.620 -8.828 2.755
5.962 -6.870 5.237
0.234 -1.589 0.055
3.953 -5.475 2.428
2.102 -4.163 -0.089
2.772 -7.514 0.237
2.243 -2.984 2.865
```

## Properties
V: 319.7 Å³ per cell
E_tot: -6.56 eV per atom

***

Material: FeO4
Method: DFT, GGA+U
State: relaxed

Cell and atoms, written as POSCAR:
```
FeO4
1.0
-3.283 -1.868 0.775
1.363 -3.136 -1.783
1.494 -1.244 3.330
O Fe
4 1
Cartesian
-0.960 -2.502 -0.504
1.428 -2.190 0.774
-0.895 -1.556 2.053
0.000 0.000 0.000
-0.213 -3.124 1.162
```

## Properties
N(E_F): 2.446 states/eV/cell
V: 57.3 Å³ per cell
E_tot: -4.68 eV per atom

***

Material: FeO2
Method: DFT, GGA+U
State: relaxed

Cell and atoms, written as POSCAR:
```
FeO2
1.0
-0.215 2.863 0.463
-0.519 -1.867 2.168
10.118 0.324 2.701
O Fe
4 2
Cartesian
3.719 -0.158 2.704
0.504 -0.261 1.846
5.665 1.478 2.629
8.879 1.580 3.487
0.000 0.000 0.000
5.059 0.162 1.351
```

## Properties
V: 76.7 Å³ per cell
E_tot: -5.93 eV per atom

***

Material: FeO2
Method: DFT, GGA+U
State: relaxed

Cell and atoms, written as POSCAR:
```
FeO2
1.0
-2.982 0.268 0.175
1.639 -0.176 2.505
0.411 4.547 0.050
O Fe
2 1
Cartesian
-1.117 3.705 0.991
0.186 0.934 1.739
0.000 0.000 0.000
```

## Properties
N(E_F): 1.747 states/eV/cell
V: 35.6 Å³ per cell
E_tot: -6.05 eV per atom

***

Material: FeO2
Method: DFT, GGA+U
State: relaxed

Cell and atoms, written as POSCAR:
```
FeO2
1.0
3.822 0.004 -0.032
-0.003 3.822 -0.032
-1.869 -1.872 4.806
Fe O
2 4
Cartesian
0.984 1.942 3.557
0.966 0.011 1.186
0.968 1.926 1.633
2.873 0.009 0.706
-0.923 1.944 4.037
0.982 0.027 3.109
```

## Properties
N(E_F): 1.530 states/eV/cell
V: 69.8 Å³ per cell
E_tot: -6.16 eV per atom

***

Material: Fe12O13
Method: DFT, GGA+U
State: relaxed

Cell and atoms, written as POSCAR:
```
Fe12O13
1.0
-3.961 -1.354 -5.442
-0.228 -5.497 4.107
-2.912 5.207 3.398
Fe O
12 13
Cartesian
-3.597 -1.490 4.848
-2.408 2.331 2.972
-2.866 1.043 0.141
-5.294 -0.871 -0.273
-4.694 -3.975 -0.910
-2.353 -1.896 -0.435
-4.236 -2.687 1.921
-3.505 -0.154 -2.785
-1.808 -0.774 2.335
-5.813 2.200 0.158
-4.749 0.252 2.498
-1.288 -3.844 1.905
-4.571 0.990 -1.181
-5.218 -1.550 3.469
-5.784 -2.821 0.508
-2.997 -3.752 0.458
-6.357 0.352 1.064
-0.745 -1.996 0.999
-1.884 -0.094 -1.407
-1.318 1.176 1.554
-2.531 -2.635 3.243
-4.105 2.108 1.604
-3.551 -0.822 1.031
-4.128 -1.965 -1.722
-2.974 0.321 3.784
```

## Properties
N(E_F): 16.578 states/eV/cell
V: 267.4 Å³ per cell
E_tot: -6.61 eV per atom